Record 1
# Ca2CeCl8

Ca2CeCl8 after structural relaxation (PBE, the Alexandria database).

The structure in CIF format:
```
data_Ca2CeCl8
_cell_length_a 6.479
_cell_length_b 7.306
_cell_length_c 7.306
_cell_angle_alpha 75.82
_cell_angle_beta 103.58
_cell_angle_gamma 103.58
_symmetry_space_group_name_H-M 'P 1'
_symmetry_Int_Tables_number 1
loop_
_symmetry_equiv_pos_as_xyz
'x,y,z'
loop_
_atom_site_label
_atom_site_fract_x
_atom_site_fract_y
_atom_site_fract_z
Cl1 0.776 0.574 0.574
Cl2 0.755 0.141 0.141
Cl3 0.245 0.859 0.859
Cl4 0.224 0.426 0.426
Cl5 0.262 0.953 0.344
Cl6 0.262 0.344 0.953
Cl7 0.738 0.047 0.656
Cl8 0.738 0.656 0.047
Ce1 0.000 0.000 0.000
Ca1 0.440 0.662 0.662
Ca2 0.560 0.338 0.338
```

Output
For the relative energy among the computed polymorphs, the calculation gives 0.000 eV per atom.

Record 2
# Ca2CeCl8

Ca2CeCl8 after structural relaxation (PBE, the Alexandria database).

The structure in CIF format:
```
data_Ca2CeCl8
_cell_length_a 5.953
_cell_length_b 7.453
_cell_length_c 7.453
_cell_angle_alpha 115.34
_cell_angle_beta 97.99
_cell_angle_gamma 97.99
_symmetry_space_group_name_H-M 'P 1'
_symmetry_Int_Tables_number 1
loop_
_symmetry_equiv_pos_as_xyz
'x,y,z'
loop_
_atom_site_label
_atom_site_fract_x
_atom_site_fract_y
_atom_site_fract_z
Ce1 0.500 0.000 0.000
Cl1 0.122 0.342 0.082
Cl2 0.682 0.340 0.340
Cl3 0.500 0.206 0.794
Cl4 0.878 0.658 0.918
Cl5 0.122 0.082 0.342
Cl6 0.878 0.918 0.658
Cl7 0.500 0.794 0.206
Cl8 0.318 0.660 0.660
Ca1 0.000 0.302 0.698
Ca2 0.000 0.698 0.302
```

Output
The density of states at the Fermi level comes out at 0.020 states/eV per atom. For the relative energy among the computed polymorphs, the calculation gives 0.143 eV per atom.

Record 3
# CaCeCl2

CaCeCl2 after structural relaxation (PBE, the Alexandria database).

The structure in CIF format:
```
data_CaCeCl2
_cell_length_a 3.864
_cell_length_b 3.864
_cell_length_c 9.403
_cell_angle_alpha 78.14
_cell_angle_beta 78.14
_cell_angle_gamma 60.00
_symmetry_space_group_name_H-M 'P 1'
_symmetry_Int_Tables_number 1
loop_
_symmetry_equiv_pos_as_xyz
'x,y,z'
loop_
_atom_site_label
_atom_site_fract_x
_atom_site_fract_y
_atom_site_fract_z
Cl1 0.109 0.109 0.672
Cl2 0.891 0.891 0.328
Ca1 0.500 0.500 0.500
Ce1 0.000 0.000 0.000
```

Output
The density of states at the Fermi level comes out at 1.362 states/eV per atom.

Record 4
# CaCeCl6

CaCeCl6 after structural relaxation (PBE, the Alexandria database).

The structure in CIF format:
```
data_CaCeCl6
_cell_length_a 6.821
_cell_length_b 6.821
_cell_length_c 7.383
_cell_angle_alpha 62.47
_cell_angle_beta 62.48
_cell_angle_gamma 60.00
_symmetry_space_group_name_H-M 'P 1'
_symmetry_Int_Tables_number 1
loop_
_symmetry_equiv_pos_as_xyz
'x,y,z'
loop_
_atom_site_label
_atom_site_fract_x
_atom_site_fract_y
_atom_site_fract_z
Cl1 0.095 0.390 0.755
Cl2 0.390 0.759 0.755
Cl3 0.610 0.241 0.245
Cl4 0.759 0.095 0.755
Cl5 0.905 0.610 0.245
Cl6 0.241 0.905 0.245
Ca1 0.500 0.500 0.500
Ce1 0.000 0.000 0.000
```

Record 5
# Cs2CaCeCl6

Cs2CaCeCl6 after structural relaxation (PBE, the Alexandria database).

The structure in CIF format:
```
data_Cs2CaCeCl6
_cell_length_a 7.895
_cell_length_b 7.890
_cell_length_c 11.164
_cell_angle_alpha 90.00
_cell_angle_beta 90.00
_cell_angle_gamma 90.00
_symmetry_space_group_name_H-M 'P 1'
_symmetry_Int_Tables_number 1
loop_
_symmetry_equiv_pos_as_xyz
'x,y,z'
loop_
_atom_site_label
_atom_site_fract_x
_atom_site_fract_y
_atom_site_fract_z
Cs1 0.000 0.250 0.250
Cs2 0.500 0.750 0.250
Cs3 0.000 0.250 0.750
Cs4 0.500 0.750 0.750
Cl1 0.245 0.506 0.000
Cl2 0.755 0.506 0.000
Cl3 0.245 0.996 0.000
Cl4 0.000 0.750 0.755
Cl5 0.745 0.004 0.500
Cl6 0.755 0.996 0.000
Cl7 0.745 0.494 0.500
Cl8 0.000 0.750 0.245
Cl9 0.500 0.250 0.745
Cl10 0.500 0.250 0.255
Cl11 0.255 0.494 0.500
Cl12 0.255 0.004 0.500
Ca1 0.000 0.751 0.000
Ca2 0.500 0.249 0.500
Ce1 0.000 0.749 0.500
Ce2 0.500 0.251 0.000
```

Output
The density of states at the Fermi level comes out at 1.243 states/eV per atom.

Record 6
# CsCaCe2Cl8

CsCaCe2Cl8 after structural relaxation (PBE, the Alexandria database).

The structure in CIF format:
```
data_CsCaCe2Cl8
_cell_length_a 6.983
_cell_length_b 6.770
_cell_length_c 8.870
_cell_angle_alpha 90.20
_cell_angle_beta 89.94
_cell_angle_gamma 88.18
_symmetry_space_group_name_H-M 'P 1'
_symmetry_Int_Tables_number 1
loop_
_symmetry_equiv_pos_as_xyz
'x,y,z'
loop_
_atom_site_label
_atom_site_fract_x
_atom_site_fract_y
_atom_site_fract_z
Cl1 0.824 0.246 0.795
Cl2 0.323 0.262 0.000
Cl3 0.386 0.287 0.500
Cl4 0.677 0.738 0.000
Cl5 0.176 0.754 0.205
Cl6 0.174 0.754 0.793
Cl7 0.826 0.246 0.207
Cl8 0.614 0.713 0.500
Ce1 0.500 0.500 0.233
Ce2 0.500 0.500 0.767
Ca1 0.000 0.000 0.000
Cs1 0.000 0.000 0.500
```

Output
The density of states at the Fermi level comes out at 1.323 states/eV per atom.

Record 7
# CsCa2CeCl8

CsCa2CeCl8 after structural relaxation (PBE, the Alexandria database).

The structure in CIF format:
```
data_CsCa2CeCl8
_cell_length_a 6.801
_cell_length_b 6.628
_cell_length_c 8.955
_cell_angle_alpha 89.97
_cell_angle_beta 89.97
_cell_angle_gamma 89.11
_symmetry_space_group_name_H-M 'P 1'
_symmetry_Int_Tables_number 1
loop_
_symmetry_equiv_pos_as_xyz
'x,y,z'
loop_
_atom_site_label
_atom_site_fract_x
_atom_site_fract_y
_atom_site_fract_z
Cl1 0.392 0.281 0.500
Cl2 0.178 0.750 0.793
Cl3 0.822 0.250 0.207
Cl4 0.178 0.750 0.207
Cl5 0.822 0.250 0.793
Cl6 0.674 0.728 0.000
Cl7 0.326 0.272 0.000
Cl8 0.608 0.719 0.500
Cs1 0.000 0.000 0.500
Ce1 0.000 0.000 0.000
Ca1 0.500 0.500 0.254
Ca2 0.500 0.500 0.746
```

Output
The density of states at the Fermi level comes out at 0.664 states/eV per atom.

Record 8
# CaCeInCl6

CaCeInCl6 after structural relaxation (PBE, the Alexandria database).

The structure in CIF format:
```
data_CaCeInCl6
_cell_length_a 7.279
_cell_length_b 7.279
_cell_length_c 13.547
_cell_angle_alpha 90.00
_cell_angle_beta 90.00
_cell_angle_gamma 120.00
_symmetry_space_group_name_H-M 'P 1'
_symmetry_Int_Tables_number 1
loop_
_symmetry_equiv_pos_as_xyz
'x,y,z'
loop_
_atom_site_label
_atom_site_fract_x
_atom_site_fract_y
_atom_site_fract_z
Cl1 0.633 0.631 0.637
Cl2 0.633 0.002 0.863
Cl3 0.369 0.002 0.637
Cl4 0.369 0.367 0.863
Cl5 0.002 0.369 0.137
Cl6 0.631 0.633 0.137
Cl7 0.998 0.631 0.863
Cl8 0.998 0.367 0.637
Cl9 0.367 0.369 0.363
Cl10 0.002 0.633 0.363
Cl11 0.367 0.998 0.137
Cl12 0.631 0.998 0.363
Ce1 0.667 0.333 0.250
Ce2 0.333 0.667 0.750
In1 0.000 0.000 0.000
In2 0.000 0.000 0.500
Ca1 0.667 0.333 0.750
Ca2 0.333 0.667 0.250
```

Output
The density of states at the Fermi level comes out at 0.903 states/eV per atom.

Record 9
# KCaCeCl6

KCaCeCl6 after structural relaxation (PBE, the Alexandria database).

The structure in CIF format:
```
data_KCaCeCl6
_cell_length_a 7.260
_cell_length_b 7.260
_cell_length_c 13.515
_cell_angle_alpha 90.00
_cell_angle_beta 90.00
_cell_angle_gamma 120.00
_symmetry_space_group_name_H-M 'P 1'
_symmetry_Int_Tables_number 1
loop_
_symmetry_equiv_pos_as_xyz
'x,y,z'
loop_
_atom_site_label
_atom_site_fract_x
_atom_site_fract_y
_atom_site_fract_z
Ca1 0.333 0.667 0.250
Ca2 0.667 0.333 0.750
Cl1 0.002 0.635 0.363
Cl2 0.365 0.367 0.363
Cl3 0.002 0.367 0.137
Cl4 0.635 0.002 0.863
Cl5 0.367 0.365 0.863
Cl6 0.998 0.365 0.637
Cl7 0.367 0.002 0.637
Cl8 0.635 0.633 0.637
Cl9 0.998 0.633 0.863
Cl10 0.365 0.998 0.137
Cl11 0.633 0.635 0.137
Cl12 0.633 0.998 0.363
K1 0.000 0.000 0.000
K2 0.000 0.000 0.500
Ce1 0.667 0.333 0.250
Ce2 0.333 0.667 0.750
```

Output
The density of states at the Fermi level comes out at 0.957 states/eV per atom.

Record 10
# Li2CaCeCl8

Li2CaCeCl8 after structural relaxation (PBE, the Alexandria database).

The structure in CIF format:
```
data_Li2CaCeCl8
_cell_length_a 6.605
_cell_length_b 6.800
_cell_length_c 8.360
_cell_angle_alpha 74.24
_cell_angle_beta 90.11
_cell_angle_gamma 101.67
_symmetry_space_group_name_H-M 'P 1'
_symmetry_Int_Tables_number 1
loop_
_symmetry_equiv_pos_as_xyz
'x,y,z'
loop_
_atom_site_label
_atom_site_fract_x
_atom_site_fract_y
_atom_site_fract_z
Cl1 0.881 0.212 0.191
Cl2 0.631 0.728 0.550
Cl3 0.119 0.788 0.809
Cl4 0.358 0.257 0.939
Cl5 0.369 0.272 0.450
Cl6 0.133 0.780 0.289
Cl7 0.642 0.743 0.061
Cl8 0.867 0.220 0.711
Ca1 0.000 0.000 0.500
Li1 0.546 0.362 0.674
Li2 0.454 0.638 0.326
Ce1 0.000 0.000 0.000
```

Record 11
# NaCaCeCl6

NaCaCeCl6 after structural relaxation (PBE, the Alexandria database).

The structure in CIF format:
```
data_NaCaCeCl6
_cell_length_a 7.135
_cell_length_b 7.135
_cell_length_c 12.386
_cell_angle_alpha 90.00
_cell_angle_beta 90.00
_cell_angle_gamma 120.00
_symmetry_space_group_name_H-M 'P 1'
_symmetry_Int_Tables_number 1
loop_
_symmetry_equiv_pos_as_xyz
'x,y,z'
loop_
_atom_site_label
_atom_site_fract_x
_atom_site_fract_y
_atom_site_fract_z
Cl1 0.347 0.998 0.130
Cl2 0.002 0.653 0.370
Cl3 0.998 0.651 0.870
Cl4 0.653 0.651 0.630
Cl5 0.651 0.998 0.370
Cl6 0.002 0.349 0.130
Cl7 0.349 0.002 0.630
Cl8 0.653 0.002 0.870
Cl9 0.349 0.347 0.870
Cl10 0.347 0.349 0.370
Cl11 0.651 0.653 0.130
Cl12 0.998 0.347 0.630
Na1 0.000 0.000 0.000
Na2 0.000 0.000 0.500
Ca1 0.333 0.667 0.250
Ca2 0.667 0.333 0.750
Ce1 0.333 0.667 0.750
Ce2 0.667 0.333 0.250
```

Output
The density of states at the Fermi level comes out at 0.960 states/eV per atom.

Record 12
# Na2CaCeCl8

Na2CaCeCl8 after structural relaxation (PBE, the Alexandria database).

The structure in CIF format:
```
data_Na2CaCeCl8
_cell_length_a 6.622
_cell_length_b 6.466
_cell_length_c 8.419
_cell_angle_alpha 90.00
_cell_angle_beta 90.00
_cell_angle_gamma 93.51
_symmetry_space_group_name_H-M 'P 1'
_symmetry_Int_Tables_number 1
loop_
_symmetry_equiv_pos_as_xyz
'x,y,z'
loop_
_atom_site_label
_atom_site_fract_x
_atom_site_fract_y
_atom_site_fract_z
Cl1 0.312 0.275 0.500
Cl2 0.167 0.794 0.765
Cl3 0.688 0.725 0.500
Cl4 0.690 0.727 0.000
Cl5 0.833 0.206 0.766
Cl6 0.310 0.273 0.000
Cl7 0.167 0.794 0.234
Cl8 0.833 0.206 0.235
Ce1 0.000 0.000 0.000
Ca1 0.000 0.000 0.500
Na1 0.500 0.500 0.266
Na2 0.500 0.500 0.734
```

The calculation returns the following theoretical density values, one per record and in order: 2.61 2.90 3.53 2.59 3.15 2.92 2.62 2.71 2.33 2.24 2.53 2.35 g/cm³.
The calculation returns the following formation energy (no corrections) values, one per record and in order: -2.121 -1.979 -1.387 -2.093 -2.068 -2.130 -2.219 -1.968 -2.239 -1.991 -2.172 -1.992 eV per atom.
The calculation returns the following magnetic moment values, one per record and in order: 0.00 0.12 2.14 0.00 1.97 3.00 1.00 1.00 1.00 0.14 1.00 0.08 μB/f.u..